Here is a relaxed structure of Tb2HoRu3 from the Alexandria database. Energies are from PBE.

## Properties
energy above the most stable polymorph in this dataset = 4.0 meV per atom
V = 118 Å³ per cell
E = -7.254 eV per atom
space-group type = Cmmm, No. 65
energy relative to the elements = -0.31 eV per atom
M_tot = 0.000 μB/f.u.

a = 3.414 Å, b = 4.802 Å, c = 7.603 Å
α = 108.41°, β = 90.00°, γ = 90.00°
Atoms (fractional coordinates):
Ru: 0.500 0.834 0.668
Ho: 0.000 0.000 0.000
Ru: 0.500 0.166 0.332
Ru: 0.500 0.500 0.000
Tb: 0.000 0.666 0.332
Tb: 0.000 0.334 0.668